Record 1
The following is a DFT calculation (PBE) of HfScCu after structural relaxation.

The structure in CIF format:
```
data_HfScCu
_chemical_formula_sum 'Hf2 Sc2 Cu2'
_cell_length_a 3.1556
_cell_length_b 4.5086
_cell_length_c 8.0348
_cell_angle_alpha 90.00
_cell_angle_beta 90.00
_cell_angle_gamma 90.00
_space_group_name_H-M_alt 'P m m 2'
_space_group_IT_number 25
loop_
_space_group_symop_operation_xyz
'x,y,z'
'-x,-y,z'
'-x,y,z'
'x,-y,z'
loop_
_atom_site_label
_atom_site_fract_x
_atom_site_fract_y
_atom_site_fract_z
Hf1 0.0000 0.0000 0.0000
Hf2 0.5000 0.5000 0.2260
Sc1 0.0000 0.0000 0.3853
Sc2 0.0000 0.5000 0.6270
Cu1 0.5000 0.0000 0.7078
Cu2 0.5000 0.5000 0.8971
```

## Properties
* magnetization: 0.00 Bohr magnetons per cell
* formation energy: -0.065 eV/atom
* energy relative to the lowest polymorph listed for this composition: 53 meV/atom



Record 2
The following is a DFT calculation (PBE) of HfScCu after structural relaxation.

The structure in CIF format:
```
data_HfScCu
_chemical_formula_sum 'Hf2 Sc2 Cu2'
_cell_length_a 3.2262
_cell_length_b 6.0614
_cell_length_c 6.3406
_cell_angle_alpha 102.99
_cell_angle_beta 90.24
_cell_angle_gamma 105.36
_space_group_name_H-M_alt 'P 1'
_space_group_IT_number 1
loop_
_space_group_symop_operation_xyz
'x,y,z'
loop_
_atom_site_label
_atom_site_fract_x
_atom_site_fract_y
_atom_site_fract_z
Hf1 0.0000 0.0000 0.0000
Hf2 0.2885 0.5786 0.0922
Sc1 0.3384 0.6819 0.6175
Sc2 0.6200 0.2465 0.7076
Cu1 0.6562 0.3084 0.2966
Cu2 0.9638 0.9388 0.4045
```

## Properties
* magnetization: 0.00 Bohr magnetons per cell
* formation energy: -0.056 eV/atom
* energy relative to the lowest polymorph listed for this composition: 62 meV/atom



Record 3
The following is a DFT calculation (PBE) of Hf2ScCu after structural relaxation.

The structure in CIF format:
```
data_Hf2ScCu
_chemical_formula_sum 'Hf8 Sc4 Cu4'
_cell_length_a 6.7747
_cell_length_b 6.7747
_cell_length_c 6.7747
_cell_angle_alpha 90.00
_cell_angle_beta 90.00
_cell_angle_gamma 90.00
_space_group_name_H-M_alt 'F m -3 m'
_space_group_IT_number 225
_space_group_name_Hall '-F 4 2 3'
loop_
_atom_site_label
_atom_site_fract_x
_atom_site_fract_y
_atom_site_fract_z
Hf1 0.2500 0.2500 0.2500
Sc1 0.0000 0.0000 0.0000
Cu1 0.0000 0.0000 0.5000
```

## Properties
* magnetization: 0.01 Bohr magnetons per cell
* formation energy: 0.232 eV/atom
* energy relative to the lowest polymorph listed for this composition: 238 meV/atom



Record 4
The following is a DFT calculation (PBE) of HfScCu after structural relaxation.

The structure in CIF format:
```
data_HfScCu
_chemical_formula_sum 'Hf4 Sc4 Cu4'
_cell_length_a 5.5498
_cell_length_b 7.1014
_cell_length_c 5.8966
_cell_angle_alpha 90.00
_cell_angle_beta 90.00
_cell_angle_gamma 90.00
_space_group_name_H-M_alt 'I m a 2'
_space_group_IT_number 46
loop_
_space_group_symop_operation_xyz
'x,y,z'
'-x,-y,z'
'-x+1/2,y,z'
'x+1/2,-y,z'
'x+1/2,y+1/2,z+1/2'
'-x+1/2,-y+1/2,z+1/2'
'-x,y+1/2,z+1/2'
'x,-y+1/2,z+1/2'
loop_
_atom_site_label
_atom_site_fract_x
_atom_site_fract_y
_atom_site_fract_z
Hf1 0.2500 0.1865 0.0000
Sc1 0.2500 0.6508 0.1849
Cu1 0.0000 0.0000 0.3177
```

## Properties
* magnetization: 0.00 Bohr magnetons per cell
* formation energy: -0.065 eV/atom
* energy relative to the lowest polymorph listed for this composition: 53 meV/atom



Record 5
The following is a DFT calculation (PBE) of HfSc3Cu after structural relaxation.

The structure in CIF format:
```
data_HfSc3Cu
_chemical_formula_sum 'Hf1 Sc3 Cu1'
_cell_length_a 5.1657
_cell_length_b 5.1657
_cell_length_c 5.1657
_cell_angle_alpha 90.00
_cell_angle_beta 90.00
_cell_angle_gamma 90.00
_space_group_name_H-M_alt 'P m -3 m'
_space_group_IT_number 221
_space_group_name_Hall '-P 4 2 3'
loop_
_atom_site_label
_atom_site_fract_x
_atom_site_fract_y
_atom_site_fract_z
Hf1 0.0000 0.0000 0.0000
Sc1 0.0000 0.0000 0.5000
Cu1 0.5000 0.5000 0.5000
```

## Properties
* magnetization: 0.00 Bohr magnetons per cell
* formation energy: 1.016 eV/atom
* energy relative to the lowest polymorph listed for this composition: 648 meV/atom



Record 6
The following is a DFT calculation (PBE) of HfScCu after structural relaxation.

The structure in CIF format:
```
data_HfScCu
_chemical_formula_sum 'Hf4 Sc4 Cu4'
_cell_length_a 3.2139
_cell_length_b 16.3788
_cell_length_c 4.4027
_cell_angle_alpha 90.00
_cell_angle_beta 90.00
_cell_angle_gamma 90.00
_space_group_name_H-M_alt 'C m c m'
_space_group_IT_number 63
_space_group_name_Hall '-C 2c 2'
loop_
_atom_site_label
_atom_site_fract_x
_atom_site_fract_y
_atom_site_fract_z
Hf1 0.0000 0.2091 0.2500
Sc1 0.0000 0.4033 0.2500
Cu1 0.0000 0.0416 0.2500
```

## Properties
* magnetization: 0.00 Bohr magnetons per cell
* formation energy: -0.110 eV/atom
* energy relative to the lowest polymorph listed for this composition: 7 meV/atom



- Number 4 is which compound?
  HfScCu